1.
A crystal of CaTlIr2 relaxed with PBEsol, computed with SCAN.

Cell lengths 4.2317, 4.2317, 4.9878 Å; angles 115.10, 115.10, 90.00 degrees
Last column: nearest neighbours and their distance in Å.
Sites, in units of the cell vectors:
Tl 0.0000 0.0000 0.0000  8 Ir 2.91, 4 Ca 2.99
Ir 0.2500 0.7500 0.5000  4 Tl 2.91, 4 Ca 2.91, 4 Ir 2.99
Ca 0.5000 0.5000 0.0000  8 Ir 2.91, 4 Tl 2.99
Ir 0.7500 0.2500 0.5000  4 Ca 2.91, 4 Tl 2.91, 4 Ir 2.99

Properties
Final energy: -4.1043 Ry per atom
Energy of formation from the pure elements: 0.213 eV per atom
V: 17.87 Å³/atom



2.
A crystal of CaMoSe2 relaxed with PBEsol, computed with SCAN.

Cell lengths 3.7657, 3.7657, 8.7154 Å; angles 77.52, 77.52, 60.00 degrees
Last column: nearest neighbours and their distance in Å.
Sites, in units of the cell vectors:
Se 0.9057 0.9057 0.2828  1 Mo 2.39
Se 0.0943 0.0943 0.7172  1 Mo 2.39
Mo 0.0000 0.0000 0.0000  2 Se 2.39
Ca 0.5000 0.5000 0.5000  6 Se 2.84

Properties
Final energy: -1.5737 Ry per atom
Energy relative to the elements, uncorrected: -235 meV per atom
Polymorph energy (0 for the lowest one): 2.08 eV/f.u.
V: 25.91 Å³/atom



3.
A crystal of MnBeSb relaxed with PBEsol, computed with SCAN.

Cell lengths 3.1868, 3.8117, 3.8117 Å; angles 120.00, 90.00, 90.00 degrees
Last column: nearest neighbours and their distance in Å.
Sites, in units of the cell vectors:
Mn 0.0000 0.3333 0.6667  3 Be 2.20
Sb 0.5000 0.6667 0.3333  6 Be 2.72, 6 Mn 2.72
Be 0.0000 0.0000 0.0000  3 Mn 2.20

Properties
Final energy: -1.4369 Ry per atom
Energy relative to the elements, uncorrected: 406 meV per atom
V: 13.37 Å³/atom



4.
A crystal of FeTc3Bi relaxed with PBEsol, computed with SCAN.

Cell lengths 4.4218, 4.4218, 4.4218 Å; angles 90.00, 90.00, 90.00 degrees
Last column: nearest neighbours and their distance in Å.
Sites, in units of the cell vectors:
Tc 0.0000 0.5000 0.0000  2 Fe 2.21
Tc 0.0000 0.0000 0.5000  2 Fe 2.21
Tc 0.5000 0.0000 0.0000  2 Fe 2.21
Fe 0.0000 0.0000 0.0000  6 Tc 2.21
Bi 0.5000 0.5000 0.5000  12 Tc 3.13

Properties
Final energy: -2.8754 Ry per atom
Energy of formation from the pure elements: 1.257 eV per atom
V: 17.29 Å³/atom



5.
A crystal of CoI2O2 relaxed with PBEsol, computed with SCAN.

Cell lengths 3.9626, 3.9626, 7.5412 Å; angles 90.00, 90.00, 90.00 degrees
Last column: nearest neighbours and their distance in Å.
Sites, in units of the cell vectors:
Co 0.5000 0.5000 0.5000  4 I 2.80
O 0.0000 0.5000 0.0000  2 I 1.98
I 0.0000 0.0000 0.5000  4 Co 2.80
O 0.5000 0.0000 0.0000  2 I 1.98
I 0.0000 0.0000 0.0000  4 O 1.98

Properties
Final energy: -1.4988 Ry per atom
Energy relative to the elements, uncorrected: 257 meV per atom
V: 23.68 Å³/atom



6.
A crystal of KGe2N3 relaxed with PBEsol, computed with SCAN.

Cell lengths 5.2578, 5.8213, 5.8213 Å; angles 61.51, 90.00, 90.00 degrees
Last column: nearest neighbours and their distance in Å.
Sites, in units of the cell vectors:
K 0.0016 0.6550 0.3450  5 N 2.68-2.83
N 0.3606 0.3532 0.1171  3 Ge 1.88-1.89
K 0.5016 0.3450 0.6550  5 N 2.68-2.83
Ge 0.0239 0.3172 0.0290  4 N 1.78-1.89
Ge 0.0239 0.9710 0.6828  4 N 1.78-1.89
N 0.4875 0.7953 0.2047  2 Ge 1.78
N 0.8606 0.1171 0.3532  3 Ge 1.88-1.89
Ge 0.5239 0.6828 0.9710  4 N 1.78-1.89
N 0.3606 0.8829 0.6468  3 Ge 1.88-1.89
Ge 0.5239 0.0290 0.3172  4 N 1.78-1.89
N 0.8606 0.6468 0.8829  3 Ge 1.88-1.89
N 0.9875 0.2047 0.7953  2 Ge 1.78

Properties
Final energy: -0.9311 Ry per atom
Energy relative to the elements, uncorrected: -271 meV per atom
V: 13.05 Å³/atom



7.
A crystal of ZrGaAg3 relaxed with PBEsol, computed with SCAN.

Cell lengths 5.1843, 5.1843, 5.1843 Å; angles 90.00, 90.00, 90.00 degrees
Last column: nearest neighbours and their distance in Å.
Sites, in units of the cell vectors:
Ag 0.5000 0.0000 0.0000  2 Zr 2.59
Zr 0.0000 0.0000 0.0000  6 Ag 2.59
Ga 0.5000 0.5000 0.5000  12 Ag 3.67
Ag 0.0000 0.5000 0.0000  2 Zr 2.59
Ag 0.0000 0.0000 0.5000  2 Zr 2.59

Properties
Final energy: -1.9830 Ry per atom
Energy of formation from the pure elements: 1.249 eV per atom
V: 27.87 Å³/atom



8.
A crystal of CaTcSe2Br relaxed with PBEsol, computed with SCAN.

Cell lengths 4.8130, 4.8130, 5.1970 Å; angles 90.00, 90.00, 90.00 degrees
Last column: nearest neighbours and their distance in Å.
Sites, in units of the cell vectors:
Ca 0.5000 0.5000 0.5000  4 Br 3.40, 8 Se 3.54
Br 0.0000 0.0000 0.5000  2 Tc 2.60
Se 0.0000 0.5000 0.0000  2 Tc 2.41
Se 0.5000 0.0000 0.0000  2 Tc 2.41
Tc 0.0000 0.0000 0.0000  4 Se 2.41, 2 Br 2.60

Properties
Final energy: -1.5755 Ry per atom
Energy relative to the elements, uncorrected: -568 meV per atom
V: 24.08 Å³/atom



> Which of these has the lowest final energy?

CaTlIr2